Entry 1:
Computed, not measured: a relaxed LiSiMo2 crystal at the PBEsol level of DFT.

Properties
- Raw total energy: -7.830 eV per atom
- Theoretical density: 6.91 g cm⁻³
- Size of the total moment: 0.0 Bohr magnetons per cell

POSCAR file:
```
LiSiMo2
1.0
2.684 0.000 0.000
0.000 4.211 0.000
-0.740 0.000 4.823
Li Si Mo
1 1 2
direct
0.000 0.000 0.000
0.020 0.500 0.741
0.432 0.000 0.504
0.621 0.500 0.223
```

---

Entry 2:
Computed, not measured: a relaxed MnSbTe2Ru crystal at the PBEsol level of DFT.

Properties
- Raw total energy: -5.508 eV per atom
- Theoretical density: 7.99 g cm⁻³
- Size of the total moment: 1.7 Bohr magnetons per cell
- Relative energy among the computed polymorphs: 0.000 eV/atom

POSCAR file:
```
MnSbTe2Ru
1.0
5.014 0.000 0.000
0.000 5.014 0.000
0.000 0.000 4.407
Mn Sb Te Ru
1 1 2 1
direct
0.000 0.000 0.000
0.500 0.500 0.500
0.000 0.500 0.000
0.500 0.000 0.000
0.000 0.000 0.500
```

---

Entry 3:
Computed, not measured: a relaxed In10CuAgS16 crystal at the PBEsol level of DFT.

Properties
- Raw total energy: -4.402 eV per atom
- Theoretical density: 4.92 g cm⁻³
- Size of the total moment: 0.0 Bohr magnetons per cell

POSCAR file:
```
In10CuAgS16
1.0
7.586 0.000 0.000
0.000 7.586 0.000
0.000 0.000 10.756
In Cu Ag S
10 1 1 16
direct
0.000 0.258 0.363
0.000 0.500 0.750
0.000 0.742 0.363
0.234 0.500 0.126
0.258 0.000 0.637
0.500 0.000 0.250
0.500 0.234 0.874
0.500 0.766 0.874
0.742 0.000 0.637
0.766 0.500 0.126
0.000 0.000 0.000
0.500 0.500 0.500
0.000 0.233 0.614
0.000 0.250 0.122
0.000 0.750 0.122
0.000 0.767 0.614
0.233 0.000 0.386
0.236 0.500 0.364
0.250 0.000 0.878
0.270 0.500 0.883
0.500 0.236 0.636
0.500 0.270 0.117
0.500 0.730 0.117
0.500 0.764 0.636
0.730 0.500 0.883
0.750 0.000 0.878
0.764 0.500 0.364
0.767 0.000 0.386
```